P) Computed, not measured: a relaxed KZn2SnS crystal at the PBE-GGA level of DFT.

Output
- symmetry = P4/mmm, No. 123

Cell lengths 5.505, 5.572, 5.505 Å; angles 90.00, 90.00, 90.00 degrees
Fractional coordinates of all 5 atoms:
Zn (0.500, 0.000, 0.000)
Zn (0.000, 0.000, 0.500)
Sn (0.500, 0.500, 0.500)
S (0.000, 0.500, 0.000)
K (0.000, 0.000, 0.000)



Q) Computed, not measured: a relaxed KZn2SnS crystal at the PBE-GGA level of DFT.

Output
- symmetry = P4/mmm, No. 123

Cell lengths 5.533, 6.787, 5.533 Å; angles 90.00, 90.00, 90.00 degrees
Each line ends with the local moment (μB).
Fractional coordinates of all 5 atoms:
S (0.500, 0.500, 0.500)  -0.05
K (0.000, 0.000, 0.000)  0.04
Zn (0.000, 0.000, 0.500)  0.02
Zn (0.500, 0.000, 0.000)  0.01
Sn (0.000, 0.500, 0.000)  0.35



Out of the structures above, which one is the least stable? Solution: Q).